i:
Material: CrCu2Re
Method: DFT, SCAN
State: single point on PBEsol structure

Cell lengths 2.543, 4.407, 4.407 Å; angles 90.00, 90.00, 90.00 degrees
Fractional coordinates of all 4 atoms:
Cr 0.500 0.000 0.000
Cu 0.000 0.000 0.500
Re 0.500 0.500 0.500
Cu 0.000 0.500 0.000

Calculated values
Its space group is P4/mmm, No. 123.



ii:
Material: CrCu2Re
Method: DFT, SCAN
State: single point on PBEsol structure

Cell lengths 4.143, 4.143, 4.143 Å; angles 60.00, 60.00, 60.00 degrees
Fractional coordinates of all 4 atoms:
Re 0.500 0.500 0.500
Cu 0.750 0.750 0.750
Cr 0.000 0.000 0.000
Cu 0.250 0.250 0.250

Calculated values
Its space group is Fm-3m, No. 225.



Energies in eV/atom, measured from the most stable structure: i 0.021; ii 0.000.



i:
Material: Cr2CuRe
Method: DFT, SCAN
State: single point on PBEsol structure

Cell lengths 2.491, 4.801, 4.862 Å; angles 116.92, 100.20, 99.20 degrees
Fractional coordinates of all 4 atoms:
Re 0.500 0.000 0.000
Cr 0.000 0.000 0.500
Cu 0.000 0.500 0.000
Cr 0.500 0.500 0.500

Calculated values
Its space group is C2/m, No. 12.



ii:
Material: Cr2CuRe
Method: DFT, SCAN
State: single point on PBEsol structure

Cell lengths 2.500, 4.066, 4.907 Å; angles 90.00, 101.39, 90.00 degrees
Fractional coordinates of all 4 atoms:
Cr 0.963 0.000 0.015
Cr 0.744 0.500 0.241
Re 0.225 0.500 0.748
Cu 0.569 0.000 0.496

Calculated values
Its space group is Pm, No. 6.



Energies in eV/atom, measured from the most stable structure: i 0.021; ii 0.000.



i:
Material: ScCr2Cu
Method: DFT, SCAN
State: single point on PBEsol structure

Cell lengths 2.651, 4.528, 4.554 Å; angles 90.00, 97.38, 90.00 degrees
Fractional coordinates of all 4 atoms:
Cr 0.670 0.000 0.737
Cu 0.500 0.500 0.000
Sc 0.000 0.500 0.500
Cr 0.330 0.000 0.263

Calculated values
Its space group is P2/m, No. 10.



ii:
Material: ScCr2Cu
Method: DFT, SCAN
State: single point on PBEsol structure

Cell lengths 3.139, 4.120, 4.354 Å; angles 90.00, 90.00, 90.00 degrees
Fractional coordinates of all 4 atoms:
Sc 0.000 0.500 0.500
Cr 0.500 0.500 0.000
Cu 0.500 0.000 0.500
Cr 0.000 0.000 0.000

Calculated values
Its space group is Pmmm, No. 47.



Energies in eV/atom, measured from the most stable structure: i 0.391; ii 0.000.



i:
Material: Sr2CrCu
Method: DFT, SCAN
State: single point on PBEsol structure

Cell lengths 3.775, 3.775, 7.781 Å; angles 90.00, 90.00, 90.00 degrees
Fractional coordinates of all 4 atoms:
Cu 0.500 0.500 0.500
Sr 0.000 0.000 0.731
Cr 0.500 0.500 0.000
Sr 0.000 0.000 0.269

Calculated values
Its space group is P4/mmm, No. 123.



ii:
Material: Sr2CrCu
Method: DFT, SCAN
State: single point on PBEsol structure

Cell lengths 3.811, 5.207, 6.436 Å; angles 113.91, 107.22, 90.00 degrees
Fractional coordinates of all 4 atoms:
Cu 0.209 0.708 0.417
Sr 0.761 0.261 0.522
Cr 0.563 0.563 0.125
Sr 0.968 0.968 0.936

Calculated values
Its space group is Imm2, No. 44.



Energies in eV/atom, measured from the most stable structure: i 0.022; ii 0.000.



i:
Material: TaCrCu
Method: DFT, SCAN
State: single point on PBEsol structure

Cell lengths 4.047, 4.047, 4.047 Å; angles 60.00, 60.00, 60.00 degrees
Fractional coordinates of all 3 atoms:
Cu 0.250 0.250 0.250
Cr 0.500 0.500 0.500
Ta 0.000 0.000 0.000

Calculated values
Its space group is F-43m, No. 216.



ii:
Material: TaCrCu
Method: DFT, SCAN
State: single point on PBEsol structure

Cell lengths 2.611, 2.611, 6.373 Å; angles 98.90, 98.90, 104.17 degrees
Fractional coordinates of all 3 atoms:
Cr 0.994 0.994 0.988
Ta 0.666 0.666 0.332
Cu 0.340 0.340 0.681

Calculated values
Its space group is Fmm2, No. 42.



Energies in eV/atom, measured from the most stable structure: i 0.446; ii 0.000.



i:
Material: CrCu2Tc
Method: DFT, SCAN
State: single point on PBEsol structure

Cell lengths 3.669, 3.649, 4.432 Å; angles 114.31, 114.45, 90.00 degrees
Fractional coordinates of all 4 atoms:
Tc 0.500 0.500 0.999
Cu 0.000 0.000 0.000
Cr 0.250 0.750 0.501
Cu 0.750 0.250 0.500

Calculated values
Its space group is Imm2, No. 44.



ii:
Material: CrCu2Tc
Method: DFT, SCAN
State: single point on PBEsol structure

Cell lengths 2.436, 4.422, 4.687 Å; angles 95.49, 90.00, 105.99 degrees
Fractional coordinates of all 4 atoms:
Cu 0.252 0.505 0.769
Cu 0.999 0.998 0.986
Tc 0.506 0.011 0.486
Cr 0.743 0.486 0.259

Calculated values
Its space group is Cm, No. 8.



Energies in eV/atom, measured from the most stable structure: i 0.000; ii 0.056.